(1)
# AcEr5Cd6 GGA-PBE optimized geometry
data_AcEr5Cd6
_symmetry_space_group_name_H-M 'I m m m'
_symmetry_Int_Tables_number 71
_symmetry_space_group_name_Hall '-I 2 2'
_cell_length_a 5.304
_cell_length_b 7.649
_cell_length_c 15.942
_cell_angle_alpha 90.00
_cell_angle_beta 90.00
_cell_angle_gamma 90.00
loop_
_atom_site_label
_atom_site_type_symbol
_atom_site_fract_x
_atom_site_fract_y
_atom_site_fract_z
Ac1 Ac 0.000 0.000 0.000
Er1 Er 0.000 0.000 0.331
Er2 Er 0.000 0.500 0.000
Er3 Er 0.000 0.500 0.337
Cd1 Cd 0.000 0.224 0.500
Cd2 Cd 0.000 0.264 0.174
# DFT formation energy in eV per atom: -0.28

=====

(2)
# Ga2Tc2P GGA-PBE optimized geometry
data_Ga2Tc2P
_symmetry_space_group_name_H-M 'P 4/m b m'
_symmetry_Int_Tables_number 127
_symmetry_space_group_name_Hall '-P 4 2ab'
_cell_length_a 6.223
_cell_length_b 6.223
_cell_length_c 3.949
_cell_angle_alpha 90.00
_cell_angle_beta 90.00
_cell_angle_gamma 90.00
loop_
_atom_site_label
_atom_site_type_symbol
_atom_site_fract_x
_atom_site_fract_y
_atom_site_fract_z
Ga1 Ga 0.148 0.352 0.000
Tc1 Tc 0.163 0.663 0.500
P1 P 0.000 0.000 0.500
# DFT formation energy in eV per atom: -0.20

=====

(3)
# SrDyCd3 GGA-PBE optimized geometry
data_SrDyCd3
_symmetry_space_group_name_H-M 'C m c m'
_symmetry_Int_Tables_number 63
_symmetry_space_group_name_Hall '-C 2c 2'
_cell_length_a 3.762
_cell_length_b 30.044
_cell_length_c 5.013
_cell_angle_alpha 90.00
_cell_angle_beta 90.00
_cell_angle_gamma 90.00
loop_
_atom_site_label
_atom_site_type_symbol
_atom_site_fract_x
_atom_site_fract_y
_atom_site_fract_z
Sr1 Sr 0.000 0.077 0.250
Dy1 Dy 0.000 0.214 0.750
Cd1 Cd 0.000 0.319 0.750
Cd2 Cd 0.000 0.374 0.250
Cd3 Cd 0.000 0.474 0.250
# DFT formation energy in eV per atom: -0.29

=====

(4)
# Fe2PbBr2 GGA-PBE optimized geometry
data_Fe2PbBr2
_symmetry_space_group_name_H-M 'I 4/m m m'
_symmetry_Int_Tables_number 139
_symmetry_space_group_name_Hall '-I 4 2'
_cell_length_a 4.644
_cell_length_b 4.644
_cell_length_c 10.568
_cell_angle_alpha 90.00
_cell_angle_beta 90.00
_cell_angle_gamma 90.00
loop_
_atom_site_label
_atom_site_type_symbol
_atom_site_fract_x
_atom_site_fract_y
_atom_site_fract_z
Fe1 Fe 0.000 0.000 0.106
Pb1 Pb 0.000 0.000 0.500
Br1 Br 0.000 0.500 0.250
# E_form (uncorrected) in kcal/mol of atoms: 7.72

=====

(5)
# LiTiNbTc GGA-PBE optimized geometry
data_LiTiNbTc
_symmetry_space_group_name_H-M 'F -4 3 m'
_symmetry_Int_Tables_number 216
_symmetry_space_group_name_Hall 'F -4 2 3'
_cell_length_a 6.286
_cell_length_b 6.286
_cell_length_c 6.286
_cell_angle_alpha 90.00
_cell_angle_beta 90.00
_cell_angle_gamma 90.00
loop_
_atom_site_label
_atom_site_type_symbol
_atom_site_fract_x
_atom_site_fract_y
_atom_site_fract_z
Li1 Li 0.000 0.000 0.000
Ti1 Ti 0.250 0.250 0.250
Nb1 Nb 0.250 0.250 0.750
Tc1 Tc 0.000 0.000 0.500
# DFT formation energy in eV per atom: -0.07

=====

(6)
# BaSi2Au GGA-PBE optimized geometry
data_BaSi2Au
_symmetry_space_group_name_H-M 'P 4 m m'
_symmetry_Int_Tables_number 99
_symmetry_space_group_name_Hall 'P 4 -2'
_cell_length_a 3.502
_cell_length_b 3.502
_cell_length_c 7.371
_cell_angle_alpha 90.00
_cell_angle_beta 90.00
_cell_angle_gamma 90.00
loop_
_atom_site_label
_atom_site_type_symbol
_atom_site_fract_x
_atom_site_fract_y
_atom_site_fract_z
Ba1 Ba 0.000 0.000 0.000
Si1 Si 0.000 0.000 0.471
Si2 Si 0.500 0.500 0.336
Au1 Au 0.500 0.500 0.683
# E_form (uncorrected) in kcal/mol of atoms: -0.37

=====

(7)
# Sc3AgO GGA-PBE optimized geometry
data_Sc3AgO
_symmetry_space_group_name_H-M 'C 1 2/m 1'
_symmetry_Int_Tables_number 12
_symmetry_space_group_name_Hall '-C 2y'
_cell_length_a 11.223
_cell_length_b 4.715
_cell_length_c 7.387
_cell_angle_alpha 90.00
_cell_angle_beta 109.18
_cell_angle_gamma 90.00
loop_
_atom_site_label
_atom_site_type_symbol
_atom_site_fract_x
_atom_site_fract_y
_atom_site_fract_z
Sc1 Sc 0.001 0.000 0.253
Sc2 Sc 0.217 0.500 0.857
Sc3 Sc 0.218 0.500 0.362
Ag1 Ag 0.000 0.500 0.000
Ag2 Ag 0.000 0.500 0.500
O1 O 0.196 0.000 0.851
# Energy above the most stable polymorph in this dataset in meV per atom: 100
# E_form (uncorrected) in kcal/mol of atoms: -29.21

=====

(8)
# TbPrHo2 GGA-PBE optimized geometry
data_TbPrHo2
_symmetry_space_group_name_H-M 'P 4/m m m'
_symmetry_Int_Tables_number 123
_symmetry_space_group_name_Hall '-P 4 2'
_cell_length_a 5.069
_cell_length_b 5.069
_cell_length_c 5.050
_cell_angle_alpha 90.00
_cell_angle_beta 90.00
_cell_angle_gamma 90.00
loop_
_atom_site_label
_atom_site_type_symbol
_atom_site_fract_x
_atom_site_fract_y
_atom_site_fract_z
Tb1 Tb 0.000 0.000 0.000
Pr1 Pr 0.500 0.500 0.000
Ho1 Ho 0.000 0.500 0.500
# Energy above the most stable polymorph in this dataset in meV per atom: 23
# DFT formation energy in eV per atom: 0.02

=====

(9)
# CaMoPd GGA-PBE optimized geometry
data_CaMoPd
_symmetry_space_group_name_H-M 'I m m 2'
_symmetry_Int_Tables_number 44
_symmetry_space_group_name_Hall 'I 2 -2'
_cell_length_a 3.309
_cell_length_b 16.728
_cell_length_c 4.513
_cell_angle_alpha 90.00
_cell_angle_beta 90.00
_cell_angle_gamma 90.00
loop_
_atom_site_label
_atom_site_type_symbol
_atom_site_fract_x
_atom_site_fract_y
_atom_site_fract_z
Ca1 Ca 0.000 0.175 0.000
Mo1 Mo 0.000 0.000 0.636
Mo2 Mo 0.000 0.500 0.536
Pd1 Pd 0.000 0.375 0.000
# Energy above the most stable polymorph in this dataset in meV per atom: 48
# DFT formation energy in eV per atom: -0.05

=====

(10)
# La8RhAu5 GGA-PBE optimized geometry
data_La8RhAu5
_symmetry_space_group_name_H-M 'I -4'
_symmetry_Int_Tables_number 82
_symmetry_space_group_name_Hall 'I -4'
_cell_length_a 9.237
_cell_length_b 9.237
_cell_length_c 9.561
_cell_angle_alpha 90.00
_cell_angle_beta 90.00
_cell_angle_gamma 90.00
loop_
_atom_site_label
_atom_site_type_symbol
_atom_site_fract_x
_atom_site_fract_y
_atom_site_fract_z
La1 La 0.059 0.182 0.309
La2 La 0.064 0.293 0.945
Rh1 Rh 0.000 0.000 0.000
Au1 Au 0.000 0.500 0.250
Au2 Au 0.116 0.254 0.623
# DFT formation energy in eV per atom: -0.68

=====

(11)
# U3GeSe6 GGA-PBE optimized geometry
data_U3GeSe6
_symmetry_space_group_name_H-M 'C m c 21'
_symmetry_Int_Tables_number 36
_symmetry_space_group_name_Hall 'C 2c -2'
_cell_length_a 10.997
_cell_length_b 13.658
_cell_length_c 7.072
_cell_angle_alpha 90.00
_cell_angle_beta 90.00
_cell_angle_gamma 90.00
loop_
_atom_site_label
_atom_site_type_symbol
_atom_site_fract_x
_atom_site_fract_y
_atom_site_fract_z
U1 U 0.000 0.100 0.000
U2 U 0.179 0.400 0.891
Ge1 Ge 0.000 0.325 0.366
Se1 Se 0.000 0.265 0.744
Se2 Se 0.000 0.492 0.135
Se3 Se 0.163 0.036 0.696
Se4 Se 0.172 0.235 0.174
# E_form (uncorrected) in kcal/mol of atoms: -21.32

=====

(12)
# LaY GGA-PBE optimized geometry
data_LaY
_symmetry_space_group_name_H-M 'P m -3 m'
_symmetry_Int_Tables_number 221
_symmetry_space_group_name_Hall '-P 4 2 3'
_cell_length_a 4.123
_cell_length_b 4.123
_cell_length_c 4.123
_cell_angle_alpha 90.00
_cell_angle_beta 90.00
_cell_angle_gamma 90.00
loop_
_atom_site_label
_atom_site_type_symbol
_atom_site_fract_x
_atom_site_fract_y
_atom_site_fract_z
La1 La 0.000 0.000 0.000
Y1 Y 0.500 0.500 0.500
# Energy above the most stable polymorph in this dataset in meV per atom: 67
# DFT formation energy in eV per atom: 0.07

=====

(13)
# Lu2ThPt GGA-PBE optimized geometry
data_Lu2ThPt
_symmetry_space_group_name_H-M 'P 4/m m m'
_symmetry_Int_Tables_number 123
_symmetry_space_group_name_Hall '-P 4 2'
_cell_length_a 3.476
_cell_length_b 3.476
_cell_length_c 8.423
_cell_angle_alpha 90.00
_cell_angle_beta 90.00
_cell_angle_gamma 90.00
loop_
_atom_site_label
_atom_site_type_symbol
_atom_site_fract_x
_atom_site_fract_y
_atom_site_fract_z
Lu1 Lu 0.000 0.000 0.193
Th1 Th 0.500 0.500 0.500
Pt1 Pt 0.500 0.500 0.000
# Energy above the most stable polymorph in this dataset in meV per atom: 0
# DFT formation energy in eV per atom: -0.65

=====

(14)
# FeNiC2 GGA-PBE optimized geometry
data_FeNiC2
_symmetry_space_group_name_H-M 'I -4 2 d'
_symmetry_Int_Tables_number 122
_symmetry_space_group_name_Hall 'I -4 2bw'
_cell_length_a 4.297
_cell_length_b 4.297
_cell_length_c 8.613
_cell_angle_alpha 90.00
_cell_angle_beta 90.00
_cell_angle_gamma 90.00
loop_
_atom_site_label
_atom_site_type_symbol
_atom_site_fract_x
_atom_site_fract_y
_atom_site_fract_z
Fe1 Fe 0.000 0.000 0.000
Ni1 Ni 0.000 0.000 0.500
C1 C 0.233 0.250 0.125
# Energy above the most stable polymorph in this dataset in meV per atom: 0
# DFT formation energy in eV per atom: 0.67

=====

(15)
# Sc4In3Ag GGA-PBE optimized geometry
data_Sc4In3Ag
_symmetry_space_group_name_H-M 'P 4/m m m'
_symmetry_Int_Tables_number 123
_symmetry_space_group_name_Hall '-P 4 2'
_cell_length_a 3.356
_cell_length_b 3.356
_cell_length_c 15.630
_cell_angle_alpha 90.00
_cell_angle_beta 90.00
_cell_angle_gamma 90.00
loop_
_atom_site_label
_atom_site_type_symbol
_atom_site_fract_x
_atom_site_fract_y
_atom_site_fract_z
Sc1 Sc 0.000 0.000 0.112
Sc2 Sc 0.000 0.000 0.370
In1 In 0.500 0.500 0.240
In2 In 0.500 0.500 0.500
Ag1 Ag 0.500 0.500 0.000
# DFT formation energy in eV per atom: -0.40

=====

(16)
# MnTl2Ir GGA-PBE optimized geometry
data_MnTl2Ir
_symmetry_space_group_name_H-M 'F m -3 m'
_symmetry_Int_Tables_number 225
_symmetry_space_group_name_Hall '-F 4 2 3'
_cell_length_a 6.573
_cell_length_b 6.573
_cell_length_c 6.573
_cell_angle_alpha 90.00
_cell_angle_beta 90.00
_cell_angle_gamma 90.00
loop_
_atom_site_label
_atom_site_type_symbol
_atom_site_fract_x
_atom_site_fract_y
_atom_site_fract_z
Mn1 Mn 0.000 0.000 0.000
Tl1 Tl 0.250 0.250 0.250
Ir1 Ir 0.000 0.000 0.500
# Energy above the most stable polymorph in this dataset in meV per atom: 552
# DFT formation energy in eV per atom: 0.83

=====

(17)
# CsSrBeRe2 GGA-PBE optimized geometry
data_CsSrBeRe2
_symmetry_space_group_name_H-M 'P 4/m m m'
_symmetry_Int_Tables_number 123
_symmetry_space_group_name_Hall '-P 4 2'
_cell_length_a 4.415
_cell_length_b 4.415
_cell_length_c 5.755
_cell_angle_alpha 90.00
_cell_angle_beta 90.00
_cell_angle_gamma 90.00
loop_
_atom_site_label
_atom_site_type_symbol
_atom_site_fract_x
_atom_site_fract_y
_atom_site_fract_z
Cs1 Cs 0.000 0.000 0.000
Sr1 Sr 0.500 0.500 0.000
Be1 Be 0.500 0.500 0.500
Re1 Re 0.000 0.500 0.500
# DFT formation energy in eV per atom: 1.44

=====

(18)
# CdIr3Pt GGA-PBE optimized geometry
data_CdIr3Pt
_symmetry_space_group_name_H-M 'P m -3 m'
_symmetry_Int_Tables_number 221
_symmetry_space_group_name_Hall '-P 4 2 3'
_cell_length_a 4.833
_cell_length_b 4.833
_cell_length_c 4.833
_cell_angle_alpha 90.00
_cell_angle_beta 90.00
_cell_angle_gamma 90.00
loop_
_atom_site_label
_atom_site_type_symbol
_atom_site_fract_x
_atom_site_fract_y
_atom_site_fract_z
Cd1 Cd 0.000 0.000 0.000
Ir1 Ir 0.000 0.500 0.500
Pt1 Pt 0.500 0.500 0.500
# Energy above the most stable polymorph in this dataset in meV per atom: 0
# DFT formation energy in eV per atom: 1.78

=====

(19)
# KSb4Te GGA-PBE optimized geometry
data_KSb4Te
_symmetry_space_group_name_H-M 'F -4 3 m'
_symmetry_Int_Tables_number 216
_symmetry_space_group_name_Hall 'F -4 2 3'
_cell_length_a 9.174
_cell_length_b 9.174
_cell_length_c 9.174
_cell_angle_alpha 90.00
_cell_angle_beta 90.00
_cell_angle_gamma 90.00
loop_
_atom_site_label
_atom_site_type_symbol
_atom_site_fract_x
_atom_site_fract_y
_atom_site_fract_z
K1 K 0.000 0.000 0.000
Sb1 Sb 0.115 0.115 0.615
Te1 Te 0.250 0.250 0.250
# E_form (uncorrected) in kcal/mol of atoms: 0.11

=====

(20)
# SrPd2Pb2 GGA-PBE optimized geometry
data_SrPd2Pb2
_symmetry_space_group_name_H-M 'P 4/m b m'
_symmetry_Int_Tables_number 127
_symmetry_space_group_name_Hall '-P 4 2ab'
_cell_length_a 8.446
_cell_length_b 8.446
_cell_length_c 3.414
_cell_angle_alpha 90.00
_cell_angle_beta 90.00
_cell_angle_gamma 90.00
loop_
_atom_site_label
_atom_site_type_symbol
_atom_site_fract_x
_atom_site_fract_y
_atom_site_fract_z
Sr1 Sr 0.000 0.000 0.000
Pd1 Pd 0.157 0.343 0.500
Pb1 Pb 0.136 0.636 0.000
# DFT formation energy in eV per atom: -0.28